Material: ZnCr2Cu
Method: DFT, PBE-GGA
State: relaxed

Summary:
Space group: P4mm
Formation energy from the elements: 0.6 eV/f.u.

Cell: 3.005 3.005 5.727 Å, 90.00 90.00 90.00°
Each line ends with the local moment (μB).
Sites, in units of the cell vectors:
Cr 0.500 0.500 0.226  1.92
Cr 0.000 0.000 0.030  -1.86
Zn 0.500 0.500 0.740  0.00
Cu 0.000 0.000 0.504  0.07

=====

Material: YSc2Be
Method: DFT, PBE-GGA
State: relaxed

Summary:
Space group: Immm
Formation energy from the elements: 0.2 eV/f.u.

Cell: 6.075 6.075 6.075 Å, 147.49 131.79 59.36°
Sites, in units of the cell vectors:
Y 0.750 0.250 0.500
Sc 0.457 0.457 0.000
Be 0.250 0.750 0.500
Sc 0.043 0.043 0.000

=====

Material: La2GeTe
Method: DFT, PBE-GGA
State: relaxed

Summary:
Space group: Fm-3m
Relative energy among the computed polymorphs: 305 meV/atom
ΔE_f (raw): -0.98 eV per atom

Cell: 5.478 5.478 5.478 Å, 60.00 60.00 60.00°
Sites, in units of the cell vectors:
Ge 0.000 0.000 0.000
Te 0.500 0.500 0.500
La 0.250 0.250 0.250
La 0.750 0.750 0.750

=====

no.,energy (eV per atom)
1,-6.006
2,-5.674
3,-5.379